The following is a DFT calculation (PBE) of a relaxed structure of NaSr2InTe4.

Values from the calculation:
DOS at the Fermi energy   3.289 states/eV per cell
Formation energy (no corrections)   -1050.9 meV per atom
DFT total energy   -3.549 eV per atom

```
NaSr2InTe4
1.0
-4.611 4.657 6.398
4.611 -4.657 6.398
4.611 4.657 -6.398
Na Sr In Te
2 4 2 8
Direct
0.000 0.000 0.000
0.500 0.000 0.500
0.000 0.500 0.500
0.500 0.000 0.000
0.500 0.500 0.000
0.500 0.500 0.500
0.000 0.000 0.500
0.000 0.500 0.000
0.231 0.226 0.495
0.231 0.737 0.005
0.232 0.245 0.987
0.242 0.755 0.487
0.758 0.245 0.513
0.768 0.755 0.013
0.769 0.263 0.995
0.769 0.774 0.505
```

***

The following is a DFT calculation (PBE) of a relaxed structure of NaSrTl2In.

Values from the calculation:
DOS at the Fermi energy   4.794 states/eV per cell
Energy of formation   -0.93 eV/f.u.
DFT total energy   -2.281 eV per atom

```
NaSrTl2In
1.0
6.223 0.000 0.000
0.000 6.934 0.000
0.000 0.000 7.279
Na Sr Tl In
2 2 4 2
Direct
0.250 0.000 0.121
0.750 0.000 0.879
0.250 0.500 0.302
0.750 0.500 0.698
0.250 0.269 0.782
0.250 0.731 0.782
0.750 0.269 0.218
0.750 0.731 0.218
0.000 0.000 0.500
0.500 0.000 0.500
```

***

The following is a DFT calculation (PBE) of a relaxed structure of Na2SrTl2In2.

Values from the calculation:
DOS at the Fermi energy   3.054 states/eV per cell
Energy of formation   -1.35 eV/f.u.
DFT total energy   -2.269 eV per atom

```
Na2SrTl2In2
1.0
2.615 1.510 8.655
-2.615 1.510 8.655
0.000 -3.019 8.655
Na Sr Tl In
2 1 2 2
Direct
0.143 0.143 0.143
0.857 0.857 0.857
0.000 0.000 0.000
0.426 0.426 0.426
0.574 0.574 0.574
0.273 0.273 0.273
0.727 0.727 0.727
```

***

The following is a DFT calculation (PBE) of a relaxed structure of NaSrTl3In.

Values from the calculation:
DOS at the Fermi energy   4.887 states/eV per cell
Energy of formation   -1.26 eV/f.u.
DFT total energy   -2.350 eV per atom

```
NaSrTl3In
1.0
7.794 0.000 0.000
0.000 5.060 0.000
-1.292 0.000 9.387
Na Sr Tl In
2 2 6 2
Direct
0.173 0.250 0.074
0.827 0.750 0.926
0.274 0.750 0.720
0.726 0.250 0.280
0.039 0.750 0.249
0.166 0.250 0.452
0.426 0.750 0.073
0.574 0.250 0.927
0.834 0.750 0.548
0.961 0.250 0.751
0.442 0.750 0.394
0.558 0.250 0.606
```